# CeAl20V2

A PBEsol-optimized structure of CeAl20V2 (meta-GGA SCAN, Alexandria).

The structure belongs to space group Fd-3m (No. 227, origin choice 2); the cell edges are 14.418, 14.418 and 14.418 Å and the angles 90.00°, 90.00° and 90.00°. Symmetry generates all atoms from Ce at (0.125, 0.125, 0.125), Al at (0.000, 0.000, 0.000), Al at (0.013, 0.375, 0.875), Al at (0.059, 0.059, 0.325) and V at (0.000, 0.000, 0.500).

The calculation puts the magnetic moment at 0.114 μB per formula unit. The value obtained for the formation energy is -0.24 eV per atom. The calculation puts the volume at 375 Å³/f.u. As for the uncorrected energy: -10.4390 eV/atom.